A plane-wave DFT calculation with PBE-GGA was carried out for crystalline Ac3Bi4Pd3 at its relaxed geometry.

The structure belongs to space group I-43d (No. 220); the cell edges are 10.486, 10.486 and 10.486 Å and the angles 90.00°, 90.00° and 90.00°. Symmetry generates all atoms from Ac at (0.000, 0.250, 0.875), Bi at (0.082, 0.418, 0.582) and Pd at (0.000, 0.250, 0.375).

The calculation puts the density of states at the Fermi level at 0.994 states/eV/atom. For the formation energy, the calculation gives -841 meV per atom.

***

A plane-wave DFT calculation with PBE-GGA was carried out for crystalline Ac2Bi3Pd5 at its relaxed geometry.

The structure belongs to space group Ibam (No. 72); the cell edges are 11.450, 12.740 and 6.781 Å and the angles 90.00°, 90.00° and 90.00°. Symmetry generates all atoms from Ac at (0.224, 0.128, 0.000), Bi at (0.000, 0.500, 0.250), Bi at (0.116, 0.137, 0.500), Pd at (0.000, 0.000, 0.250), Pd at (0.000, 0.271, 0.250) and Pd at (0.152, 0.387, 0.000).

The calculation puts the density of states at the Fermi level at 0.500 states/eV/atom. For the formation energy, the calculation gives -628 meV per atom.

***

A plane-wave DFT calculation with PBE-GGA was carried out for crystalline AcBi3Pd3 at its relaxed geometry.

The structure belongs to space group Pm-3n (No. 223); the cell edges are 7.522, 7.522 and 7.522 Å and the angles 90.00°, 90.00° and 90.00°. Symmetry generates all atoms from Ac at (0.000, 0.000, 0.000), Bi at (0.000, 0.250, 0.500) and Pd at (0.000, 0.500, 0.250).

The calculation puts the density of states at the Fermi level at 0.725 states/eV/atom. Its energy above the most stable polymorph in this dataset is 2.592 eV per formula unit. For the formation energy, the calculation gives -185 meV per atom.

***

A plane-wave DFT calculation with PBE-GGA was carried out for crystalline AcBi3Pd3 at its relaxed geometry.

The structure belongs to space group P6_3/m (No. 176); the cell edges are 9.4465, 9.4465 and 4.7562 Å and the angles 90.00°, 90.00° and 120.00°. Symmetry generates all atoms from Ac at (0.3333, 0.6667, 0.2500), Bi at (0.0450, 0.2982, 0.7500) and Pd at (0.0647, 0.6039, 0.7500).

The calculation puts the density of states at the Fermi level at 0.724 states/eV/atom. Its energy above the most stable polymorph in this dataset is 0.000 eV per formula unit. For the formation energy, the calculation gives -556 meV per atom.

***

A plane-wave DFT calculation with PBE-GGA was carried out for crystalline AcBi2Pd8 at its relaxed geometry.

The structure belongs to space group P4/mmm (No. 123); the cell edges are 5.532, 5.532 and 8.555 Å and the angles 90.00°, 90.00° and 90.00°. Symmetry generates all atoms from Ac at (0.000, 0.000, 0.000), Bi at (0.000, 0.500, 0.500) and Pd at (0.255, 0.255, 0.266).

The calculation puts the density of states at the Fermi level at 0.566 states/eV/atom. For the formation energy, the calculation gives -91 meV per atom.

***

A plane-wave DFT calculation with PBE-GGA was carried out for crystalline AcBi6Pd12 at its relaxed geometry.

The structure belongs to space group R-3m (No. 166, hexagonal axes); the cell edges are 12.1233, 12.1233 and 9.9051 Å and the angles 90.00°, 90.00° and 120.00°. Symmetry generates all atoms from Ac at (0.0000, 0.0000, 0.0000), Bi at (0.0596, 0.5298, 0.2688), Pd at (0.0000, 0.3820, 0.5000) and Pd at (0.0795, 0.1590, 0.2646).

The calculation puts the density of states at the Fermi level at 0.384 states/eV/atom. For the formation energy, the calculation gives -254 meV per atom.

***

- formation energy of number 1 (Ac3Bi4Pd3)?
  -841 meV per atom

***

- Number 6 is which compound?
  AcBi6Pd12

***

- Which value of formation energy does entry 4 give?
  -556 meV per atom

***

What did the third record say?
A plane-wave DFT calculation with PBE-GGA was carried out for crystalline AcBi3Pd3 at its relaxed geometry.

The structure belongs to space group Pm-3n (No. 223); the cell edges are 7.522, 7.522 and 7.522 Å and the angles 90.00°, 90.00° and 90.00°. Symmetry generates all atoms from Ac at (0.000, 0.000, 0.000), Bi at (0.000, 0.250, 0.500) and Pd at (0.000, 0.500, 0.250).

The calculation puts the density of states at the Fermi level at 0.725 states/eV/atom. Its energy above the most stable polymorph in this dataset is 2.592 eV per formula unit. For the formation energy, the calculation gives -185 meV per atom.